Density functional theory data (PBE) for a geometry-optimized CeU2P4 structure.

Results
- energy relative to the elements (eV per atom) = -0.8448

Lattice parameters (Å, degrees): 3.9665 13.1253 12.3767 90.00 90.00 90.00
With the nearest neighbours (Å) after each atom.
Space group Cmcm (No. 63)
Unique sites:
Ce 0.0000 0.1126 0.2500 (multiplicity 4)  6 P 2.81-2.98
U 0.0000 0.3670 0.0622 (multiplicity 8)  6 P 2.63-2.75
P 0.0000 0.0000 0.0000 (multiplicity 4)  4 U 2.75
P 0.0000 0.2634 0.6277 (multiplicity 8)  3 U 2.72-2.74, 2 Ce 2.98, 1 P 3.03
P 0.0000 0.4611 0.2500 (multiplicity 4)  2 U 2.63, 2 Ce 2.81



Density functional theory data (PBE) for a geometry-optimized La8Co2Tc structure.

Results
- energy relative to the elements (eV per atom) = 0.0921

Lattice parameters (Å, degrees): 12.5956 7.1942 8.1117 90.00 96.14 90.00
With the nearest neighbours (Å) after each atom.
Space group C2/m (No. 12)
Unique sites:
La 0.0871 0.0000 0.1869 (multiplicity 4)  2 Co 2.59-2.82, 1 Tc 2.87
La 0.1374 0.2641 0.6282 (multiplicity 8)  1 Tc 2.70, 1 Co 2.82
La 0.1619 0.5000 0.0548 (multiplicity 4)  1 Co 2.53
Co 0.1367 0.0000 0.8849 (multiplicity 4)  5 La 2.53-2.82
Tc 0.0000 0.0000 0.5000 (multiplicity 2)  6 La 2.70-2.87



Density functional theory data (PBE) for a geometry-optimized Pr2NdThN4 structure.

Results
- energy relative to the elements, uncorrected (eV/atom) = -1.44

Lattice parameters (Å, degrees): 6.3523 3.6781 6.3596 90.00 109.36 90.00
With the nearest neighbours (Å) after each atom.
Space group P2/m (No. 10)
Unique sites:
Pr 0.0000 0.0000 0.0000 (multiplicity 1)  6 N 2.66-2.67
Pr 0.5000 0.5000 0.0000 (multiplicity 1)  6 N 2.60-2.61
Nd 0.0000 0.5000 0.5000 (multiplicity 1)  6 N 2.58-2.59
Th 0.5000 0.0000 0.5000 (multiplicity 1)  6 N 2.52-2.54
N 0.2554 0.0000 0.7410 (multiplicity 2)  1 Th 2.52, 2 Nd 2.59, 3 Pr 2.61-2.67
N 0.2609 0.5000 0.2628 (multiplicity 2)  2 Th 2.54, 1 Nd 2.58, 3 Pr 2.60-2.66



Density functional theory data (PBE) for a geometry-optimized TbCoB structure.

Results
- energy above the most stable polymorph in this dataset (kJ/mol of formula units) = 51
- energy relative to the elements (eV per atom) = -0.3016

Lattice parameters (Å, degrees): 5.1831 3.7321 9.7210 90.00 90.00 90.00
With the nearest neighbours (Å) after each atom.
Space group Pnma (No. 62)
Unique sites:
Tb 0.1088 0.2500 0.1435 (multiplicity 4)  5 Co 2.72-3.03, 1 B 2.76
Co 0.1129 0.2500 0.4478 (multiplicity 4)  3 B 1.95-2.06
B 0.1455 0.7500 0.3918 (multiplicity 4)  3 Co 1.95-2.06



Number 1: density 7.6 Mg/m³, density of states at the Fermi level 59.95 states/eV/cell. Number 2: density 6.0 Mg/m³, density of states at the Fermi level 23.76 states/eV/cell. Number 3: density 8.5 Mg/m³, density of states at the Fermi level 1.84 states/eV/cell. Number 4: density 8.1 Mg/m³, density of states at the Fermi level 5.74 states/eV/cell.